{"formula": "Na3Bi2RhO6", "functional": "PBE", "state": "optimized geometry", "lattice": [[2.9405, -5.1057, 0.0000], [2.9405, 5.1057, 0.0000], [-1.8981, 0.0000, 5.6289]], "species": ["Na", "Na", "Na", "Bi", "Bi", "Rh", "O", "O", "O", "O", "O", "O"], "frac_coords": [[0.0000, 0.0000, 0.0000], [0.3477, 0.6523, 0.0000], [0.6523, 0.3477, 0.0000], [0.1681, 0.8319, 0.5000], [0.8319, 0.1681, 0.5000], [0.5000, 0.5000, 0.5000], [0.1271, 0.4240, 0.2759], [0.2658, 0.2658, 0.7133], [0.4240, 0.1271, 0.2759], [0.5760, 0.8729, 0.7241], [0.7342, 0.7342, 0.2867], [0.8729, 0.5760, 0.7241]], "e_form_raw_mev_per_atom": -1193, "crystal_system": "monoclinic"}

---

{"formula": "PuInCu2", "functional": "PBE", "state": "optimized geometry", "lattice": [[5.1862, 0.0000, 0.0000], [0.0000, 4.1644, 0.0000], [0.0000, 0.0000, 7.2258]], "species": ["Pu", "Pu", "In", "In", "Cu", "Cu", "Cu", "Cu"], "frac_coords": [[0.2500, 0.0000, 0.1908], [0.7500, 0.0000, 0.8092], [0.2500, 0.5000, 0.8417], [0.7500, 0.5000, 0.1583], [0.0000, 0.5000, 0.5000], [0.2500, 0.0000, 0.5921], [0.5000, 0.5000, 0.5000], [0.7500, 0.0000, 0.4079]], "formation_enthalpy_0k_ev_per_atom": -0.061, "crystal_system": "orthorhombic"}